1.
# ZrSbAs2

A relaxed ZrSbAs2 crystal (PBE-GGA, the Alexandria database).

Results
Energy relative to the elements, uncorrected = 0.087 eV/atom
Calculated volume = 21.58 A^3/atom
Symmetry = No. 216

a = 4.9606 Å, b = 4.9606 Å, c = 4.9606 Å
α = 60.00°, β = 60.00°, γ = 60.00°
With the nearest neighbours (Å) after each atom.
Fractional coordinates of all 4 atoms:
Zr 0.7500 0.7500 0.7500  4 As 3.04, 4 Sb 3.04
As 0.2500 0.2500 0.2500  4 As 3.04, 4 Sb 3.04
As 0.0000 0.0000 0.0000  4 As 3.04, 4 Zr 3.04
Sb 0.5000 0.5000 0.5000  4 Zr 3.04, 4 As 3.04


2.
# Pr2HoBe

A relaxed Pr2HoBe crystal (PBE-GGA, the Alexandria database).

Results
Calculated volume = 28.19 A^3/atom
Symmetry = No. 123
E above lowest polymorph = 0.00 eV/f.u.

a = 3.6109 Å, b = 3.6109 Å, c = 8.6478 Å
α = 90.00°, β = 90.00°, γ = 90.00°
With the nearest neighbours (Å) after each atom.
Fractional coordinates of all 4 atoms:
Pr 0.0000 0.0000 0.1995  4 Be 3.08, 1 Pr 3.45
Pr 0.0000 0.0000 0.8005  4 Be 3.08, 1 Pr 3.45
Ho 0.5000 0.5000 0.5000  4 Ho 3.61, 8 Pr 3.64
Be 0.5000 0.5000 0.0000  8 Pr 3.08


3.
# Ti2ZnHg2

A relaxed Ti2ZnHg2 crystal (PBE-GGA, the Alexandria database).

Results
Calculated volume = 19.93 A^3/atom
Symmetry = No. 127
E above lowest polymorph = 0.06 eV/f.u.

a = 6.9220 Å, b = 6.9220 Å, c = 4.1593 Å
α = 90.00°, β = 90.00°, γ = 90.00°
With the nearest neighbours (Å) after each atom.
Fractional coordinates of all 10 atoms:
Ti 0.8635 0.6365 0.0000  1 Ti 2.67, 2 Zn 2.69, 6 Hg 2.86-2.94
Ti 0.6365 0.1365 0.0000  1 Ti 2.67, 2 Zn 2.69, 6 Hg 2.86-2.94
Ti 0.1365 0.3635 0.0000  1 Ti 2.67, 2 Zn 2.69, 6 Hg 2.86-2.94
Ti 0.3635 0.8635 0.0000  1 Ti 2.67, 2 Zn 2.69, 6 Hg 2.86-2.94
Hg 0.1625 0.6625 0.5000  6 Ti 2.86-2.94, 1 Hg 3.18
Hg 0.3375 0.1625 0.5000  6 Ti 2.86-2.94, 1 Hg 3.18
Hg 0.8375 0.3375 0.5000  6 Ti 2.86-2.94, 1 Hg 3.18
Hg 0.6625 0.8375 0.5000  6 Ti 2.86-2.94, 1 Hg 3.18
Zn 0.0000 0.0000 0.0000  4 Ti 2.69
Zn 0.5000 0.5000 0.0000  4 Ti 2.69


Asked for total energy across the records above, the calculation gives -5.4056, -4.3275, -3.3508 eV per atom in order.